Material: La3PuSn12
Method: DFT, PBE
State: optimized geometry

E_form ... -0.528 eV/atom
E_tot ... -5.3493 eV/atom

Unit cell a=4.765 b=4.765 c=19.132 alpha=90.00 beta=90.00 gamma=90.00
Space group P4/mmm (No. 123)
Unique sites:
La (0.000, 0.000, 0.000) (multiplicity 1)
La (0.000, 0.000, 0.254) (multiplicity 2)
Pu (0.000, 0.000, 0.500) (multiplicity 1)
Sn (0.000, 0.500, 0.127) (multiplicity 4)
Sn (0.000, 0.500, 0.381) (multiplicity 4)
Sn (0.500, 0.500, 0.000) (multiplicity 1)
Sn (0.500, 0.500, 0.254) (multiplicity 2)
Sn (0.500, 0.500, 0.500) (multiplicity 1)

***

Material: TaTlSbS6
Method: DFT, PBE
State: optimized geometry

E_tot ... -5.1481 eV/atom

Unit cell a=6.5193 b=6.5193 c=6.1515 alpha=90.00 beta=90.00 gamma=120.00
Space group P312 (No. 149)
Unique sites:
Ta (0.0000, 0.0000, 0.0000) (multiplicity 1)
Tl (0.3333, 0.6667, 0.5000) (multiplicity 1)
Sb (0.6667, 0.3333, 0.0000) (multiplicity 1)
S (0.3222, 0.0461, 0.7640) (multiplicity 6)

***

Material: GaPd3W
Method: DFT, PBE
State: optimized geometry

E_form ... 1.081 eV/atom
Energy above the most stable polymorph in this dataset ... 70 kJ/mol of formula units
E_tot ... -5.2310 eV/atom

Unit cell a=4.856 b=4.856 c=4.856 alpha=90.00 beta=90.00 gamma=90.00
Space group Pm-3m (No. 221)
Unique sites:
Ga (0.000, 0.000, 0.000) (multiplicity 1)
Pd (0.000, 0.500, 0.500) (multiplicity 3)
W (0.500, 0.500, 0.500) (multiplicity 1)

***

Q: Among the records above, which one has the lowest E_tot?
A: La3PuSn12

***

Q: What is the E_tot in the third record?
A: -5.2310 eV/atom